# 1
The following is a DFT calculation (PBE) of crystalline Ho3ErCu2 at its relaxed geometry.

```
data_Ho3ErCu2
_cell_length_a 6.743
_cell_length_b 7.114
_cell_length_c 8.281
_cell_angle_alpha 115.44
_cell_angle_beta 114.03
_cell_angle_gamma 90.00
_symmetry_space_group_name_H-M 'P 1'
_symmetry_Int_Tables_number 1
loop_
_symmetry_equiv_pos_as_xyz
'x,y,z'
loop_
_atom_site_label
_atom_site_type_symbol
_atom_site_fract_x
_atom_site_fract_y
_atom_site_fract_z
Ho1 Ho 0.500 0.750 0.000
Ho2 Ho 0.234 0.484 0.467
Ho3 Ho 0.500 0.250 0.000
Ho4 Ho 0.766 0.016 0.533
Ho5 Ho 0.234 0.984 0.467
Ho6 Ho 0.766 0.516 0.533
Cu1 Cu 0.849 0.141 0.282
Cu2 Cu 0.567 0.359 0.718
Cu3 Cu 0.151 0.859 0.718
Cu4 Cu 0.433 0.641 0.282
Er1 Er 0.000 0.000 0.000
Er2 Er 0.000 0.500 0.000
```

Values from the calculation:
energy above the lowest structure with this stoichiometry = 0.183 eV per atom
energy of formation = 0.7 kJ per mole of atoms

***

# 2
The following is a DFT calculation (PBE) of crystalline Rb4IrF10 at its relaxed geometry.

```
data_Rb4IrF10
_cell_length_a 6.210
_cell_length_b 7.607
_cell_length_c 7.607
_cell_angle_alpha 80.41
_cell_angle_beta 65.91
_cell_angle_gamma 65.91
_symmetry_space_group_name_H-M 'P 1'
_symmetry_Int_Tables_number 1
loop_
_symmetry_equiv_pos_as_xyz
'x,y,z'
loop_
_atom_site_label
_atom_site_type_symbol
_atom_site_fract_x
_atom_site_fract_y
_atom_site_fract_z
F1 F 0.892 0.773 0.069
F2 F 0.733 0.227 0.931
F3 F 0.336 0.931 0.773
F4 F 0.250 0.500 0.500
F5 F 0.039 0.069 0.227
F6 F 0.108 0.227 0.931
F7 F 0.750 0.500 0.500
F8 F 0.267 0.773 0.069
F9 F 0.961 0.931 0.773
F10 F 0.664 0.069 0.227
Rb1 Rb 0.202 0.401 0.196
Rb2 Rb 0.798 0.599 0.804
Rb3 Rb 0.398 0.804 0.401
Rb4 Rb 0.602 0.196 0.599
Ir1 Ir 0.000 0.000 0.000
```

Values from the calculation:
final energy = -4.182 eV per atom

***

# 3
The following is a DFT calculation (PBE) of crystalline La6Dy2Pu at its relaxed geometry.

```
data_La6Dy2Pu
_cell_length_a 9.053
_cell_length_b 8.636
_cell_length_c 9.398
_cell_angle_alpha 59.60
_cell_angle_beta 95.70
_cell_angle_gamma 84.44
_symmetry_space_group_name_H-M 'P 1'
_symmetry_Int_Tables_number 1
loop_
_symmetry_equiv_pos_as_xyz
'x,y,z'
loop_
_atom_site_label
_atom_site_type_symbol
_atom_site_fract_x
_atom_site_fract_y
_atom_site_fract_z
La1 La 0.771 0.255 0.465
La2 La 0.637 0.589 0.585
La3 La 0.533 0.918 0.717
La4 La 0.843 0.939 0.300
La5 La 0.022 0.377 0.799
La6 La 0.436 0.240 0.861
La7 La 0.157 0.061 0.700
La8 La 0.978 0.623 0.201
La9 La 0.363 0.411 0.415
La10 La 0.564 0.760 0.139
La11 La 0.229 0.745 0.535
La12 La 0.467 0.082 0.283
Pu1 Pu 0.809 0.075 0.895
Pu2 Pu 0.191 0.925 0.105
Dy1 Dy 0.908 0.780 0.760
Dy2 Dy 0.092 0.220 0.240
Dy3 Dy 0.290 0.574 0.979
Dy4 Dy 0.710 0.426 0.021
```

Values from the calculation:
energy of formation = 8.6 kJ per mole of atoms

***

# 4
The following is a DFT calculation (PBE) of crystalline HoCuBi at its relaxed geometry.

```
data_HoCuBi
_cell_length_a 4.246
_cell_length_b 4.410
_cell_length_c 4.410
_cell_angle_alpha 120.00
_cell_angle_beta 90.00
_cell_angle_gamma 90.00
_symmetry_space_group_name_H-M 'P 1'
_symmetry_Int_Tables_number 1
loop_
_symmetry_equiv_pos_as_xyz
'x,y,z'
loop_
_atom_site_label
_atom_site_type_symbol
_atom_site_fract_x
_atom_site_fract_y
_atom_site_fract_z
Bi1 Bi 0.236 0.333 0.667
Ho1 Ho 0.711 0.667 0.333
Cu1 Cu 0.054 0.000 0.000
```

Values from the calculation:
energy of formation = -37.8 kJ per mole of atoms

***

# 5
The following is a DFT calculation (PBE) of crystalline Ho5BeSe4 at its relaxed geometry.

```
data_Ho5BeSe4
_cell_length_a 5.715
_cell_length_b 7.019
_cell_length_c 7.019
_cell_angle_alpha 80.46
_cell_angle_beta 65.98
_cell_angle_gamma 65.98
_symmetry_space_group_name_H-M 'P 1'
_symmetry_Int_Tables_number 1
loop_
_symmetry_equiv_pos_as_xyz
'x,y,z'
loop_
_atom_site_label
_atom_site_type_symbol
_atom_site_fract_x
_atom_site_fract_y
_atom_site_fract_z
Se1 Se 0.196 0.211 0.398
Se2 Se 0.407 0.398 0.789
Se3 Se 0.806 0.789 0.602
Se4 Se 0.595 0.602 0.211
Ho1 Ho 0.717 0.188 0.379
Ho2 Ho 0.501 0.000 0.000
Ho3 Ho 0.285 0.812 0.621
Ho4 Ho 0.906 0.379 0.812
Ho5 Ho 0.096 0.621 0.188
Be1 Be 0.001 0.000 0.000
```

Values from the calculation:
final energy = -5.472 eV per atom

***

# 6
The following is a DFT calculation (PBE) of crystalline SmDy7Tl2 at its relaxed geometry.

```
data_SmDy7Tl2
_cell_length_a 5.412
_cell_length_b 8.980
_cell_length_c 8.980
_cell_angle_alpha 118.58
_cell_angle_beta 90.00
_cell_angle_gamma 90.00
_symmetry_space_group_name_H-M 'P 1'
_symmetry_Int_Tables_number 1
loop_
_symmetry_equiv_pos_as_xyz
'x,y,z'
loop_
_atom_site_label
_atom_site_type_symbol
_atom_site_fract_x
_atom_site_fract_y
_atom_site_fract_z
Tl1 Tl 0.500 0.305 0.695
Tl2 Tl 0.500 0.695 0.305
Sm1 Sm 0.000 0.000 0.000
Dy1 Dy 0.500 0.698 0.940
Dy2 Dy 0.500 0.940 0.698
Dy3 Dy 0.500 0.302 0.060
Dy4 Dy 0.000 0.229 0.771
Dy5 Dy 0.500 0.060 0.302
Dy6 Dy 0.000 0.771 0.229
Dy7 Dy 0.500 0.500 0.500
```

Values from the calculation:
energy of formation = 35.1 kJ per mole of atoms

***

# 7
The following is a DFT calculation (PBE) of crystalline Pm7Sn2Os2 at its relaxed geometry.

```
data_Pm7Sn2Os2
_cell_length_a 6.995
_cell_length_b 7.195
_cell_length_c 6.995
_cell_angle_alpha 90.00
_cell_angle_beta 105.80
_cell_angle_gamma 90.00
_symmetry_space_group_name_H-M 'P 1'
_symmetry_Int_Tables_number 1
loop_
_symmetry_equiv_pos_as_xyz
'x,y,z'
loop_
_atom_site_label
_atom_site_type_symbol
_atom_site_fract_x
_atom_site_fract_y
_atom_site_fract_z
Pm1 Pm 0.500 0.249 0.000
Pm2 Pm 0.000 0.751 0.500
Pm3 Pm 0.000 0.249 0.500
Pm4 Pm 0.500 0.751 0.000
Pm5 Pm 0.500 0.762 0.500
Pm6 Pm 0.000 0.000 0.000
Pm7 Pm 0.500 0.238 0.500
Os1 Os 0.711 0.000 0.289
Os2 Os 0.289 0.000 0.711
Sn1 Sn 0.825 0.500 0.825
Sn2 Sn 0.175 0.500 0.175
```

Values from the calculation:
energy of formation = -24.0 kJ per mole of atoms

***

# 8
The following is a DFT calculation (PBE) of crystalline NaCaV at its relaxed geometry.

```
data_NaCaV
_cell_length_a 5.310
_cell_length_b 5.310
_cell_length_c 5.310
_cell_angle_alpha 60.00
_cell_angle_beta 60.00
_cell_angle_gamma 60.00
_symmetry_space_group_name_H-M 'P 1'
_symmetry_Int_Tables_number 1
loop_
_symmetry_equiv_pos_as_xyz
'x,y,z'
loop_
_atom_site_label
_atom_site_type_symbol
_atom_site_fract_x
_atom_site_fract_y
_atom_site_fract_z
V1 V 0.500 0.500 0.500
Na1 Na 0.250 0.250 0.250
Ca1 Ca 0.750 0.750 0.750
```

Values from the calculation:
energy above the lowest structure with this stoichiometry = 0.770 eV per atom
energy of formation = 100.8 kJ per mole of atoms

***

# 9
The following is a DFT calculation (PBE) of crystalline Ti5Sb6 at its relaxed geometry.

```
data_Ti5Sb6
_cell_length_a 6.794
_cell_length_b 6.762
_cell_length_c 6.757
_cell_angle_alpha 80.33
_cell_angle_beta 70.46
_cell_angle_gamma 59.84
_symmetry_space_group_name_H-M 'P 1'
_symmetry_Int_Tables_number 1
loop_
_symmetry_equiv_pos_as_xyz
'x,y,z'
loop_
_atom_site_label
_atom_site_type_symbol
_atom_site_fract_x
_atom_site_fract_y
_atom_site_fract_z
Ti1 Ti 0.825 0.349 0.500
Ti2 Ti 0.500 0.000 0.500
Ti3 Ti 0.664 0.671 0.000
Ti4 Ti 0.336 0.329 0.000
Ti5 Ti 0.175 0.651 0.500
Sb1 Sb 0.078 0.315 0.763
Sb2 Sb 0.922 0.685 0.237
Sb3 Sb 0.392 0.685 0.763
Sb4 Sb 0.766 0.000 0.754
Sb5 Sb 0.234 0.000 0.246
Sb6 Sb 0.608 0.315 0.237
```

Values from the calculation:
final energy = -6.153 eV per atom

***

# 10
The following is a DFT calculation (PBE) of crystalline Ga2NiAu2 at its relaxed geometry.

```
data_Ga2NiAu2
_cell_length_a 7.055
_cell_length_b 7.055
_cell_length_c 3.443
_cell_angle_alpha 90.00
_cell_angle_beta 90.00
_cell_angle_gamma 90.00
_symmetry_space_group_name_H-M 'P 1'
_symmetry_Int_Tables_number 1
loop_
_symmetry_equiv_pos_as_xyz
'x,y,z'
loop_
_atom_site_label
_atom_site_type_symbol
_atom_site_fract_x
_atom_site_fract_y
_atom_site_fract_z
Ni1 Ni 0.000 0.000 0.000
Ni2 Ni 0.500 0.500 0.000
Au1 Au 0.646 0.146 0.000
Au2 Au 0.146 0.354 0.000
Au3 Au 0.354 0.854 0.000
Au4 Au 0.854 0.646 0.000
Ga1 Ga 0.662 0.838 0.500
Ga2 Ga 0.838 0.338 0.500
Ga3 Ga 0.162 0.662 0.500
Ga4 Ga 0.338 0.162 0.500
```

Values from the calculation:
energy above the lowest structure with this stoichiometry = 0.301 eV per atom
energy of formation = 7.1 kJ per mole of atoms

***

Ρ for the records above, in order: 8.19; 4.02; 7.50; 10.16; 8.12; 7.35; 8.01; 1.79; 6.37; 11.48 g cm⁻³